Entry 1:
A plane-wave DFT calculation with PBE was carried out for a geometry-optimized Ac2LaZn2Pd7 structure.

CIF file:
```
data_Ac2LaZn2Pd7
_space_group_name_H-M_alt 'C 1 2/m 1'
_space_group_IT_number 12
_space_group_name_Hall '-C 2y'
_cell_length_a 6.0975
_cell_length_b 6.0069
_cell_length_c 14.0597
_cell_angle_alpha 90.00
_cell_angle_beta 98.54
_cell_angle_gamma 90.00
loop_
_atom_site_label
_atom_site_fract_x
_atom_site_fract_y
_atom_site_fract_z
Ac1 0.1088 0.0000 0.3507
La1 0.0000 0.0000 0.0000
Zn1 0.0810 0.5000 0.2501
Pd1 0.0000 0.5000 0.0000
Pd2 0.1362 0.5000 0.4313
Pd3 0.2012 0.2495 0.8483
```


Entry 2:
A plane-wave DFT calculation with PBE was carried out for a geometry-optimized Ca2TiAg2 structure.

CIF file:
```
data_Ca2TiAg2
_space_group_name_H-M_alt 'P 4/m b m'
_space_group_IT_number 127
_space_group_name_Hall '-P 4 2ab'
_cell_length_a 7.4326
_cell_length_b 7.4326
_cell_length_c 4.5806
_cell_angle_alpha 90.00
_cell_angle_beta 90.00
_cell_angle_gamma 90.00
loop_
_atom_site_label
_atom_site_fract_x
_atom_site_fract_y
_atom_site_fract_z
Ca1 0.1729 0.3271 0.0000
Ti1 0.0000 0.0000 0.5000
Ag1 0.1343 0.6343 0.5000
```


| no. | density (g/cm3) | total DFT energy (no corrections) (Ry per atom) |
| --- | --- | --- |
| 1 | 9.58 | -0.370 |
| 2 | 4.51 | -0.256 |